1.
This record from the Alexandria database describes Sm5Bi4Ru after structural relaxation. The functional is PBE.

Cell: 7.730 7.730 7.730 Å, 99.86 99.86 131.12°
Sites, in units of the cell vectors:
1 Sm 0.000 0.000 0.000
2 Sm 0.340 0.702 0.824
3 Sm 0.516 0.340 0.638
4 Sm 0.702 0.878 0.362
5 Sm 0.878 0.516 0.176
6 Bi 0.022 0.807 0.610
7 Bi 0.197 0.412 0.390
8 Bi 0.412 0.022 0.215
9 Bi 0.807 0.197 0.785
10 Ru 0.560 0.560 0.000

Output
- crystal system = tetragonal
- total energy (hartree per atom) = -0.20091
- ΔE_f (eV per atom) = -0.6276

---

2.
This record from the Alexandria database describes Sm8Bi2Ru after structural relaxation. The functional is PBE.

Cell: 10.048 10.048 7.401 Å, 98.29 98.29 27.51°
Sites, in units of the cell vectors:
1 Sm 0.004 0.004 0.277
2 Sm 0.215 0.215 0.847
3 Sm 0.362 0.362 0.465
4 Sm 0.406 0.406 0.989
5 Sm 0.594 0.594 0.011
6 Sm 0.638 0.638 0.535
7 Sm 0.785 0.785 0.153
8 Sm 0.996 0.996 0.723
9 Bi 0.183 0.183 0.278
10 Bi 0.817 0.817 0.722
11 Ru 0.500 0.500 0.500

Output
- crystal system = monoclinic
- total energy (hartree per atom) = -0.19610
- ΔE_f (eV per atom) = -0.3553

---

3.
This record from the Alexandria database describes Sm6BiRu2 after structural relaxation. The functional is PBE.

Cell: 8.728 8.728 8.728 Å, 112.62 110.39 105.48°
Sites, in units of the cell vectors:
1 Sm 0.025 0.237 0.788
2 Sm 0.182 0.286 0.468
3 Sm 0.182 0.714 0.896
4 Sm 0.329 0.014 0.685
5 Sm 0.329 0.644 0.315
6 Sm 0.449 0.237 0.212
7 Sm 0.551 0.763 0.788
8 Sm 0.671 0.356 0.685
9 Sm 0.671 0.986 0.315
10 Sm 0.818 0.286 0.104
11 Sm 0.818 0.714 0.532
12 Sm 0.975 0.763 0.212
13 Bi 0.000 0.000 0.000
14 Bi 0.500 0.500 0.000
15 Ru 0.125 0.625 0.500
16 Ru 0.330 0.000 0.330
17 Ru 0.670 0.000 0.670
18 Ru 0.875 0.375 0.500

Output
- crystal system = orthorhombic
- total energy (hartree per atom) = -0.22071
- ΔE_f (eV per atom) = -0.3673

---

Which formula does entry 3 have?
Sm6BiRu2

---

Among the records above, which one has the highest total energy?
Sm8Bi2Ru